[1]
CrReSe: relaxed, GGA-PBE.

As for the formation energy (no corrections): 0.415 eV/atom. The symmetry is F-43m.

Cell: 4.049 4.049 4.049 Å, 60.00 60.00 60.00°
Element x y z (fractional)
Cr: 0.000 0.000 0.000
Re: 0.250 0.250 0.250
Se: 0.750 0.750 0.750



[2]
CrReSe2: relaxed, GGA-PBE.

As for the formation energy (no corrections): 0.379 eV/atom. The symmetry is I-42d.

Cell: 7.925 7.925 7.925 Å, 145.89 145.89 49.00°
Element x y z (fractional)
Cr: 0.000 0.000 0.000
Cr: 0.750 0.250 0.500
Re: 0.250 0.750 0.500
Re: 0.500 0.500 0.000
Se: 0.128 0.625 0.003
Se: 0.375 0.378 0.503
Se: 0.622 0.125 0.997
Se: 0.875 0.872 0.497



[3]
CrReSe2: relaxed, GGA-PBE.

As for the formation energy (no corrections): 0.317 eV/atom. The symmetry is C2/m.

Cell: 4.200 4.200 5.542 Å, 100.24 100.24 45.78°
Element x y z (fractional)
Cr: 0.000 0.000 0.000
Re: 0.500 0.500 0.500
Se: 0.232 0.232 0.731
Se: 0.768 0.768 0.269



[4]
CrReSe2: relaxed, GGA-PBE.

As for the formation energy (no corrections): 0.425 eV/atom. The symmetry is Fm-3m.

Cell: 4.346 4.346 4.346 Å, 60.00 60.00 60.00°
Element x y z (fractional)
Cr: 0.000 0.000 0.000
Re: 0.500 0.500 0.500
Se: 0.250 0.250 0.250
Se: 0.750 0.750 0.750



[5]
CrReSe: relaxed, GGA-PBE.

As for the formation energy (no corrections): 0.316 eV/atom. The symmetry is I4mm.

Cell: 5.332 5.332 5.332 Å, 148.18 148.18 45.63°
Element x y z (fractional)
Cr: 0.000 0.000 0.000
Re: 0.671 0.671 0.000
Se: 0.349 0.349 0.000



[6]
CrReSe2: relaxed, GGA-PBE.

As for the formation energy (no corrections): 0.694 eV/atom. The symmetry is I-4m2.

Cell: 4.929 4.929 4.929 Å, 132.36 132.36 69.66°
Element x y z (fractional)
Cr: 0.000 0.000 0.000
Re: 0.250 0.750 0.500
Se: 0.500 0.500 0.000
Se: 0.750 0.250 0.500



[7]
CrReSe2: relaxed, GGA-PBE.

As for the formation energy (no corrections): 0.421 eV/atom. The symmetry is Imm2.

Cell: 5.588 5.588 5.588 Å, 148.11 133.53 57.46°
Element x y z (fractional)
Cr: 0.000 0.000 0.000
Re: 0.292 0.792 0.500
Se: 0.497 0.497 0.000
Se: 0.782 0.282 0.500



[8]
CrReSe: relaxed, GGA-PBE.

As for the formation energy (no corrections): -0.041 eV/atom. The symmetry is P4/nmm.

Cell: 3.271 3.271 9.920 Å, 90.00 90.00 90.00°
Element x y z (fractional)
Cr: 0.250 0.250 0.225
Cr: 0.750 0.750 0.775
Re: 0.250 0.250 0.934
Re: 0.750 0.750 0.066
Se: 0.250 0.250 0.670
Se: 0.750 0.750 0.330



Quick rundown of polymorph energy (0 for the lowest one), same order as above: 456 470 409 516 357 786 512 0 meV/atom